(1)
Density functional theory data (PBE+U) for a relaxed Y2MoPbO8 crystal.

Total DFT energy (no corrections) ... -7.464 eV per atom
Magnetization ... 0.000 μB per atom

```
data_Y2MoPbO8
_chemical_formula_sum 'Y2 Mo1 Pb1 O8'
_cell_length_a 4.999
_cell_length_b 6.849
_cell_length_c 5.004
_cell_angle_alpha 90.00
_cell_angle_beta 92.43
_cell_angle_gamma 90.00
_symmetry_space_group_name_H-M 'P 1 2/m 1'
_symmetry_Int_Tables_number 10
_symmetry_space_group_name_Hall '-P 2y'
loop_
_atom_site_label
_atom_site_type_symbol
_atom_site_fract_x
_atom_site_fract_y
_atom_site_fract_z
Y1 Y 0.000 0.242 0.000
Mo1 Mo 0.500 0.000 0.500
Pb1 Pb 0.500 0.500 0.500
O1 O 0.203 0.500 0.202
O2 O 0.221 0.000 0.218
O3 O 0.317 0.214 0.681
```

***

(2)
Density functional theory data (PBE+U) for a relaxed Zn2MoPbO6 crystal.

Total DFT energy (no corrections) ... -5.699 eV per atom
N(E_F) ... 0.00 states/eV/f.u.
Magnetization ... 0.000 μB per atom

```
data_Zn2MoPbO6
_chemical_formula_sum 'Zn8 Mo4 Pb4 O24'
_cell_length_a 11.960
_cell_length_b 10.294
_cell_length_c 6.843
_cell_angle_alpha 90.00
_cell_angle_beta 121.63
_cell_angle_gamma 90.00
_symmetry_space_group_name_H-M 'C 1 2/c 1'
_symmetry_Int_Tables_number 15
_symmetry_space_group_name_Hall '-C 2yc'
loop_
_atom_site_label
_atom_site_type_symbol
_atom_site_fract_x
_atom_site_fract_y
_atom_site_fract_z
Zn1 Zn 0.198 0.038 0.157
Mo1 Mo 0.000 0.320 0.750
Pb1 Pb 0.000 0.217 0.250
O1 O 0.097 0.217 0.997
O2 O 0.108 0.413 0.698
O3 O 0.158 0.063 0.394
```

***

(3)
Density functional theory data (PBE+U) for a relaxed ZnMo2PbO8 crystal.

Total DFT energy (no corrections) ... -6.409 eV per atom
N(E_F) ... 0.00 states/eV/f.u.
Magnetization ... 0.000 μB per atom

```
data_ZnMo2PbO8
_chemical_formula_sum 'Zn1 Mo2 Pb1 O8'
_cell_length_a 5.8503
_cell_length_b 5.8503
_cell_length_c 6.7562
_cell_angle_alpha 90.00
_cell_angle_beta 90.00
_cell_angle_gamma 120.00
_symmetry_space_group_name_H-M 'P -3 m 1'
_symmetry_Int_Tables_number 164
_symmetry_space_group_name_Hall '-P 3 2"'
loop_
_atom_site_label
_atom_site_type_symbol
_atom_site_fract_x
_atom_site_fract_y
_atom_site_fract_z
Zn1 Zn 0.0000 0.0000 0.0000
Mo1 Mo 0.3333 0.6667 0.2717
Pb1 Pb 0.0000 0.0000 0.5000
O1 O 0.1617 0.3234 0.1956
O2 O 0.3333 0.6667 0.5318
```

***

(4)
Density functional theory data (PBE+U) for a relaxed MoPdO2 crystal.

Total DFT energy (no corrections) ... -6.318 eV per atom
N(E_F) ... 1.99 states/eV/f.u.
Magnetization ... 0.000 μB per atom

```
data_MoPdO2
_chemical_formula_sum 'Mo3 Pd3 O6'
_cell_length_a 2.8205
_cell_length_b 2.8205
_cell_length_c 20.3133
_cell_angle_alpha 90.00
_cell_angle_beta 90.00
_cell_angle_gamma 120.00
_symmetry_space_group_name_H-M 'R -3 m'
_symmetry_Int_Tables_number 166
_symmetry_space_group_name_Hall '-R 3 2"'
loop_
_atom_site_label
_atom_site_type_symbol
_atom_site_fract_x
_atom_site_fract_y
_atom_site_fract_z
Mo1 Mo 0.0000 0.0000 0.0000
Pd1 Pd 0.0000 0.0000 0.5000
O1 O 0.0000 0.0000 0.3999
```

***

(5)
Density functional theory data (PBE+U) for a relaxed MoPdO crystal.

Total DFT energy (no corrections) ... -6.092 eV per atom
N(E_F) ... 1.76 states/eV/f.u.
Magnetization ... 0.001 μB per atom

```
data_MoPdO
_chemical_formula_sum 'Mo2 Pd2 O2'
_cell_length_a 2.8464
_cell_length_b 2.8464
_cell_length_c 11.3108
_cell_angle_alpha 90.00
_cell_angle_beta 90.00
_cell_angle_gamma 120.00
_symmetry_space_group_name_H-M 'P -6 m 2'
_symmetry_Int_Tables_number 187
_symmetry_space_group_name_Hall 'P -6 2'
loop_
_atom_site_label
_atom_site_type_symbol
_atom_site_fract_x
_atom_site_fract_y
_atom_site_fract_z
Mo1 Mo 0.0000 0.0000 0.2011
Pd1 Pd 0.6667 0.3333 0.0000
Pd2 Pd 0.6667 0.3333 0.5000
O1 O 0.6667 0.3333 0.3174
```

***

(6)
Density functional theory data (PBE+U) for a relaxed MoPdO2 crystal.

Total DFT energy (no corrections) ... -5.605 eV per atom
N(E_F) ... 3.69 states/eV/f.u.
Magnetization ... 0.500 μB per atom

```
data_MoPdO2
_chemical_formula_sum 'Mo4 Pd4 O8'
_cell_length_a 5.686
_cell_length_b 5.686
_cell_length_c 5.686
_cell_angle_alpha 90.00
_cell_angle_beta 90.00
_cell_angle_gamma 90.00
_symmetry_space_group_name_H-M 'F m -3 m'
_symmetry_Int_Tables_number 225
_symmetry_space_group_name_Hall '-F 4 2 3'
loop_
_atom_site_label
_atom_site_type_symbol
_atom_site_fract_x
_atom_site_fract_y
_atom_site_fract_z
Mo1 Mo 0.000 0.000 0.000
Pd1 Pd 0.000 0.000 0.500
O1 O 0.250 0.250 0.250
```

***

(7)
Density functional theory data (PBE+U) for a relaxed MoPd2O crystal.

Total DFT energy (no corrections) ... -5.378 eV per atom
N(E_F) ... 3.77 states/eV/f.u.
Magnetization ... 0.711 μB per atom

```
data_MoPd2O
_chemical_formula_sum 'Mo4 Pd8 O4'
_cell_length_a 8.127
_cell_length_b 8.127
_cell_length_c 4.037
_cell_angle_alpha 90.00
_cell_angle_beta 90.00
_cell_angle_gamma 90.00
_symmetry_space_group_name_H-M 'I -4 2 d'
_symmetry_Int_Tables_number 122
_symmetry_space_group_name_Hall 'I -4 2bw'
loop_
_atom_site_label
_atom_site_type_symbol
_atom_site_fract_x
_atom_site_fract_y
_atom_site_fract_z
Mo1 Mo 0.000 0.000 0.000
Pd1 Pd 0.144 0.250 0.625
O1 O 0.000 0.000 0.500
```

***

(8)
Density functional theory data (PBE+U) for a relaxed MoPdO3 crystal.

Total DFT energy (no corrections) ... -6.385 eV per atom
Magnetization ... 0.008 μB per atom

```
data_MoPdO3
_chemical_formula_sum 'Mo6 Pd6 O18'
_cell_length_a 5.3585
_cell_length_b 5.3585
_cell_length_c 15.2059
_cell_angle_alpha 90.00
_cell_angle_beta 90.00
_cell_angle_gamma 120.00
_symmetry_space_group_name_H-M 'R -3'
_symmetry_Int_Tables_number 148
_symmetry_space_group_name_Hall '-R 3'
loop_
_atom_site_label
_atom_site_type_symbol
_atom_site_fract_x
_atom_site_fract_y
_atom_site_fract_z
Mo1 Mo 0.0000 0.0000 0.1587
Pd1 Pd 0.0000 0.0000 0.3580
O1 O 0.0117 0.3692 0.4252
```